The following is a GGA-PBE calculation of a relaxed NaSmNp2S4 crystal, from Alexandria.

Properties
formation energy without anion corrections = -1527 meV per atom
crystal system = monoclinic
E = -7.581 eV per atom

Cell: 6.8908 3.9688 6.8909 Å, 90.00 109.41 90.00°
Closest atoms and distances in Å follow each position.
Space group P2/m (No. 10)
Asymmetric unit:
Na (0.0000, 0.0000, 0.0000) (multiplicity 1)  6 S 2.84-2.85
Sm (0.5000, 0.5000, 0.0000) (multiplicity 1)  6 S 2.84
Np (0.0000, 0.5000, 0.5000) (multiplicity 1)  6 S 2.78
Np (0.5000, 0.0000, 0.5000) (multiplicity 1)  6 S 2.77-2.79
S (0.2467, 0.0000, 0.7422) (multiplicity 2)  3 Np 2.78-2.79, 1 Na 2.84, 2 Sm 2.84
S (0.2549, 0.5000, 0.2601) (multiplicity 2)  3 Np 2.77-2.78, 1 Sm 2.84, 2 Na 2.85